# 1
DFT (GGA-PBE) results for a relaxed structure of CaSbPb.

abc: 5.9981 9.2371 6.5655
angles: 90.00 90.00 90.00
Space group Cmcm (No. 63)
Unique sites:
Ca 0.0000 0.1633 0.2500 (multiplicity 4)
Sb 0.0000 0.1831 0.7500 (multiplicity 4)
Pb 0.0000 0.5000 0.0000 (multiplicity 4)

Output
Total magnetic moment (μB per atom): 0.0000
Formation energy without anion corrections (eV per formula unit): -1.51
Energy relative to the lowest polymorph listed for this composition (meV/atom): 0.0
N(E_F) (states/eV/f.u.): 1.39
DFT total energy (eV/atom): -3.78



# 2
DFT (GGA-PBE) results for a relaxed structure of CaSb2Pb.

abc: 3.5401 3.5401 33.0166
angles: 90.00 90.00 120.00
Space group R-3m (No. 166, hexagonal axes)
Unique sites:
Ca 0.0000 0.0000 0.0000 (multiplicity 3)
Sb 0.0000 0.0000 0.2570 (multiplicity 6)
Pb 0.0000 0.0000 0.5000 (multiplicity 3)

Output
Total magnetic moment (μB per atom): 0.0000
Formation energy without anion corrections (eV per formula unit): -0.67
N(E_F) (states/eV/f.u.): 1.48
DFT total energy (eV/atom): -3.66



# 3
DFT (GGA-PBE) results for a relaxed structure of Ca8Sb2Pb3.

abc: 10.5959 15.8998 5.2297
angles: 90.00 90.00 90.00
Space group Cmmm (No. 65)
Unique sites:
Ca 0.0000 0.1188 0.0000 (multiplicity 4)
Ca 0.0000 0.3643 0.0000 (multiplicity 4)
Ca 0.2436 0.3713 0.5000 (multiplicity 8)
Sb 0.0000 0.2360 0.5000 (multiplicity 4)
Pb 0.0000 0.5000 0.5000 (multiplicity 2)
Pb 0.2467 0.5000 0.0000 (multiplicity 4)

Output
Total magnetic moment (μB per atom): 0.0000
Formation energy without anion corrections (eV per formula unit): -8.22
N(E_F) (states/eV/f.u.): 7.69
DFT total energy (eV/atom): -3.35



# 4
DFT (GGA-PBE) results for a relaxed structure of CaSb2Pb.

abc: 4.9419 5.0708 9.3041
angles: 90.00 90.00 90.00
Space group Immm (No. 71)
Unique sites:
Ca 0.0000 0.0000 0.0000 (multiplicity 2)
Sb 0.0000 0.5000 0.2495 (multiplicity 4)
Pb 0.0000 0.0000 0.5000 (multiplicity 2)

Output
Total magnetic moment (μB per atom): 0.0000
Formation energy without anion corrections (eV per formula unit): -1.48
N(E_F) (states/eV/f.u.): 1.72
DFT total energy (eV/atom): -3.86



# 5
DFT (GGA-PBE) results for a relaxed structure of CaSb2Pb.

abc: 7.7950 7.7950 7.7950
angles: 90.00 90.00 90.00
Space group F-43m (No. 216)
Unique sites:
Ca 0.0000 0.0000 0.0000 (multiplicity 4)
Sb 0.0000 0.0000 0.5000 (multiplicity 4)
Sb 0.2500 0.2500 0.7500 (multiplicity 4)
Pb 0.2500 0.2500 0.2500 (multiplicity 4)

Output
Total magnetic moment (μB per atom): 0.0000
Formation energy without anion corrections (eV per formula unit): -0.75
N(E_F) (states/eV/f.u.): 1.69
DFT total energy (eV/atom): -3.68



# 6
DFT (GGA-PBE) results for a relaxed structure of CaSbPb3.

abc: 5.8245 5.8245 5.8245
angles: 90.00 90.00 90.00
Space group Pm-3m (No. 221)
Unique sites:
Ca 0.0000 0.0000 0.0000 (multiplicity 1)
Sb 0.5000 0.5000 0.5000 (multiplicity 1)
Pb 0.0000 0.0000 0.5000 (multiplicity 3)

Output
Total magnetic moment (μB per atom): 0.1100
Formation energy without anion corrections (eV per formula unit): 3.37
Energy relative to the lowest polymorph listed for this composition (meV/atom): 356.3
N(E_F) (states/eV/f.u.): 6.41
DFT total energy (eV/atom): -2.78



# 7
DFT (GGA-PBE) results for a relaxed structure of CaSbPb.

abc: 4.0939 4.0939 10.7135
angles: 90.00 90.00 90.00
Space group I4mm (No. 107)
Unique sites:
Ca 0.0000 0.0000 0.0000 (multiplicity 2)
Sb 0.0000 0.0000 0.6650 (multiplicity 2)
Pb 0.0000 0.0000 0.3131 (multiplicity 2)

Output
Total magnetic moment (μB per atom): 0.0000
Formation energy without anion corrections (eV per formula unit): -1.15
Energy relative to the lowest polymorph listed for this composition (meV/atom): 121.8
N(E_F) (states/eV/f.u.): 1.84
DFT total energy (eV/atom): -3.66



# 8
DFT (GGA-PBE) results for a relaxed structure of Ca4SbPb2.

abc: 5.8824 5.8824 15.5333
angles: 90.00 90.00 90.00
Space group I4/mmm (No. 139)
Unique sites:
Ca 0.0000 0.0000 0.1915 (multiplicity 4)
Ca 0.0000 0.5000 0.0000 (multiplicity 4)
Sb 0.0000 0.0000 0.0000 (multiplicity 2)
Pb 0.0000 0.0000 0.3907 (multiplicity 4)

Output
Total magnetic moment (μB per atom): 0.0000
Formation energy without anion corrections (eV per formula unit): -2.64
N(E_F) (states/eV/f.u.): 8.67
DFT total energy (eV/atom): -3.17



# 9
DFT (GGA-PBE) results for a relaxed structure of CaSbPb4.

abc: 9.1885 9.1885 9.1885
angles: 90.00 90.00 90.00
Space group F-43m (No. 216)
Unique sites:
Ca 0.0000 0.0000 0.0000 (multiplicity 4)
Sb 0.2500 0.2500 0.2500 (multiplicity 4)
Pb 0.1251 0.1251 0.6251 (multiplicity 16)

Output
Total magnetic moment (μB per atom): 0.0000
Formation energy without anion corrections (eV per formula unit): -0.06
N(E_F) (states/eV/f.u.): 4.69
DFT total energy (eV/atom): -3.50



# 10
DFT (GGA-PBE) results for a relaxed structure of CaSb2Pb.

abc: 7.4076 7.4076 12.2578
angles: 90.00 90.00 90.00
Space group I-42d (No. 122)
Unique sites:
Ca 0.0000 0.0000 0.0000 (multiplicity 4)
Sb 0.2263 0.2500 0.6250 (multiplicity 8)
Pb 0.0000 0.0000 0.5000 (multiplicity 4)

Output
Total magnetic moment (μB per atom): 0.0000
Formation energy without anion corrections (eV per formula unit): -0.71
N(E_F) (states/eV/f.u.): 0.00
DFT total energy (eV/atom): -3.67



# 11
DFT (GGA-PBE) results for a relaxed structure of CaSb2Pb.

abc: 4.7099 5.5108 9.0514
angles: 90.00 90.00 90.00
Space group Cmm2 (No. 35)
Unique sites:
Ca 0.0000 0.0000 0.0000 (multiplicity 2)
Sb 0.0000 0.0000 0.5223 (multiplicity 2)
Sb 0.0000 0.5000 0.7640 (multiplicity 2)
Pb 0.0000 0.5000 0.2754 (multiplicity 2)

Output
Total magnetic moment (μB per atom): 0.0000
Formation energy without anion corrections (eV per formula unit): -0.49
N(E_F) (states/eV/f.u.): 1.53
DFT total energy (eV/atom): -3.61



# 12
DFT (GGA-PBE) results for a relaxed structure of CaSbPb.

abc: 3.7494 3.7494 7.6969
angles: 90.00 90.00 120.00
Space group P3m1 (No. 156)
Unique sites:
Ca 0.0000 0.0000 0.0000 (multiplicity 1)
Sb 0.3333 0.6667 0.6835 (multiplicity 1)
Pb 0.6667 0.3333 0.3596 (multiplicity 1)

Output
Total magnetic moment (μB per atom): 0.0000
Formation energy without anion corrections (eV per formula unit): -0.42
Energy relative to the lowest polymorph listed for this composition (meV/atom): 364.5
N(E_F) (states/eV/f.u.): 2.34
DFT total energy (eV/atom): -3.42